No. 1
DFT (meta-GGA SCAN) results for a crystal of TaRe3Rh relaxed with PBEsol.

a = 4.5542 Å, b = 4.5542 Å, c = 4.5542 Å
α = 90.00°, β = 90.00°, γ = 90.00°
With the nearest neighbours (Å) after each atom.
Atoms (fractional coordinates):
Re: 0.0000 0.5000 0.0000  2 Rh 2.28
Re: 0.5000 0.0000 0.0000  2 Rh 2.28
Re: 0.0000 0.0000 0.5000  2 Rh 2.28
Rh: 0.0000 0.0000 0.0000  6 Re 2.28
Ta: 0.5000 0.5000 0.5000  12 Re 3.22

Summary:
Its raw total energy is -302.65 eV/f.u. Its crystal system is cubic. The formation energy comes out at 2.20 eV/atom. The density is 14.81 g/cm3.

---

No. 2
DFT (meta-GGA SCAN) results for a crystal of LaSc3Te relaxed with PBEsol.

a = 5.1691 Å, b = 5.1691 Å, c = 5.1691 Å
α = 90.00°, β = 90.00°, γ = 90.00°
With the nearest neighbours (Å) after each atom.
Atoms (fractional coordinates):
La: 0.0000 0.0000 0.0000  6 Sc 2.58
Te: 0.5000 0.5000 0.5000  12 Sc 3.66
Sc: 0.0000 0.0000 0.5000  2 La 2.58
Sc: 0.5000 0.0000 0.0000  2 La 2.58
Sc: 0.0000 0.5000 0.0000  2 La 2.58

Summary:
Its raw total energy is -119.04 eV/f.u. Its crystal system is cubic. The density is 4.83 g/cm3. As for the formation energy without anion corrections: 0.806 eV/atom.

---

No. 3
DFT (meta-GGA SCAN) results for a crystal of LiTeO3 relaxed with PBEsol.

a = 5.1380 Å, b = 5.1898 Å, c = 9.0749 Å
α = 90.00°, β = 90.00°, γ = 90.00°
With the nearest neighbours (Å) after each atom.
Atoms (fractional coordinates):
Te: 0.5000 0.5000 0.3970  6 O 2.09-2.32
Te: 0.5000 0.0000 0.5914  6 O 1.91-1.98
Te: 0.0000 0.0000 0.8970  6 O 2.09-2.32
Te: 0.0000 0.5000 0.0914  6 O 1.91-1.98
O: 0.2105 0.1845 0.0635  1 Li 1.94, 2 Te 1.98-2.09
O: 0.2030 0.6805 0.2344  1 Te 1.91, 1 Li 2.13
O: 0.2970 0.1805 0.7344  1 Te 1.91, 1 Li 2.13
O: 0.2895 0.6845 0.5635  1 Li 1.94, 2 Te 1.98-2.09
O: 0.7105 0.3155 0.5635  1 Li 1.94, 2 Te 1.98-2.09
O: 0.7030 0.8195 0.7344  1 Te 1.91, 1 Li 2.13
O: 0.7890 0.3414 0.9344  1 Li 1.96, 2 Te 1.97-2.10
O: 0.7895 0.8155 0.0635  1 Li 1.94, 2 Te 1.98-2.09
O: 0.2110 0.6586 0.9344  1 Li 1.96, 2 Te 1.97-2.10
O: 0.7970 0.3195 0.2344  1 Te 1.91, 1 Li 2.13
O: 0.2890 0.1586 0.4344  1 Li 1.96, 2 Te 1.97-2.10
O: 0.7110 0.8414 0.4344  1 Li 1.96, 2 Te 1.97-2.10
Li: 0.0000 0.0000 0.3257  4 O 1.96-2.13
Li: 0.5000 0.0000 0.1511  2 O 1.94
Li: 0.5000 0.5000 0.8257  4 O 1.96-2.13
Li: 0.0000 0.5000 0.6511  2 O 1.94

Summary:
Its raw total energy is -65.58 eV/f.u. Its crystal system is orthorhombic. The density is 5.01 g/cm3. As for the formation energy without anion corrections: -1.449 eV/atom.

---

No. 4
DFT (meta-GGA SCAN) results for a crystal of Ba4TaZn relaxed with PBEsol.

a = 6.8563 Å, b = 6.8563 Å, c = 6.8563 Å
α = 60.00°, β = 60.00°, γ = 60.00°
With the nearest neighbours (Å) after each atom.
Atoms (fractional coordinates):
Ba: 0.3752 0.3752 0.3752  6 Ba 3.42-3.43
Ba: 0.8745 0.3752 0.3752  6 Ba 3.42-3.43
Ba: 0.3752 0.8745 0.3752  6 Ba 3.42-3.43
Ba: 0.3752 0.3752 0.8745  6 Ba 3.42-3.43
Zn: 0.0000 0.0000 0.0000  12 Ba 4.02, 4 Ta 4.20
Ta: 0.7500 0.7500 0.7500  12 Ba 4.02, 4 Zn 4.20

Summary:
Its raw total energy is -231.15 eV/f.u. Its crystal system is cubic. The formation energy comes out at 1.19 eV/atom. The density is 5.80 g/cm3.